First-principles (PBE-GGA) data for LaNbN3 after structural relaxation, as listed in Alexandria via LeMat-Bulk.

abc: 3.4262 5.4478 7.0927
angles: 90.00 90.00 90.00
Last column: magnetic moment on the atom in μB.
Atoms (fractional coordinates):
La: 0.7500 0.2500 0.1363  0.05
La: 0.2500 0.7500 0.8637  0.05
Nb: 0.7500 0.7500 0.4109  -0.02
Nb: 0.2500 0.2500 0.5891  -0.02
N: 0.7500 0.7500 0.1065  0.34
N: 0.2500 0.2500 0.8935  0.34
N: 0.7500 0.9981 0.6424  0.16
N: 0.7500 0.5019 0.6424  0.16
N: 0.2500 0.0019 0.3576  0.16
N: 0.2500 0.4981 0.3576  0.16

Formation energy without anion corrections, eV per atom: -0.702
Raw total energy, eV per atom: -8.6969